NaFePO2: optimized geometry, GGA+U.

The structure in POSCAR format:
```
NaFePO2
1.0
4.053 0.000 0.000
0.000 4.053 0.000
0.000 0.000 5.030
P O Fe Na
1 2 1 1
direct
0.000 0.000 0.500
0.000 0.500 0.000
0.500 0.000 0.000
0.500 0.500 0.500
0.000 0.000 0.000
```

Properties
The value obtained for the uncorrected energy is -18.1 eV for the cell shown.